Entry from the Alexandria database: a relaxed structure of Mn2NbPbO6 (GGA+U).

The uncorrected energy comes out at -7.680 eV/atom.

The structure belongs to space group P1 (No. 1); the cell edges are 5.385, 5.458 and 5.881 Å and the angles 116.53°, 90.49° and 117.81°. The asymmetric unit holds Mn at (0.000, 0.000, 0.000), Mn at (0.499, 0.012, 0.534), Nb at (0.206, 0.418, 0.619), Pb at (0.724, 0.469, 0.198), O at (0.176, 0.502, 0.318), O at (0.287, 0.198, 0.781), O at (0.350, 0.134, 0.332), O at (0.580, 0.845, 0.765), O at (0.801, 0.996, 0.350) and O at (0.953, 0.536, 0.804).